! NaTb2FeO5 | the Alexandria database | PBE+U | relaxed; values from VASP
&SYSTEM
  ibrav = 0, nat = 18, ntyp = 4
/
ATOMIC_SPECIES
Fe 55.84 Fe.upf
O 16.00 O.upf
Tb 158.93 Tb.upf
Na 22.99 Na.upf
CELL_PARAMETERS angstrom
-4.0467 -3.2216 2.1442
4.0914 -5.0810 0.0875
1.8953 1.6300 6.0261
ATOMIC_POSITIONS angstrom
Fe 2.0457 -2.5405 0.0438
Fe 0.9477 0.8150 3.0131
O -1.3137 -4.0742 2.4676
O 0.7714 -0.4333 4.3585
O -1.3083 -2.0890 5.4605
O 0.7661 -2.4186 1.3656
O 3.2483 -4.5836 2.7974
O 0.9700 -3.3363 4.1289
O 3.2536 -2.5984 5.7903
O -2.0234 -1.6108 1.0721
O 1.1685 -6.2393 3.8993
O 1.1739 -4.2540 6.8922
Tb 2.6258 -4.6856 5.2268
Tb -0.6859 -1.9870 3.0310
Tb 0.8550 -1.9087 6.0568
Tb 1.0850 -4.7639 2.2011
Na 2.9933 -1.7255 3.0568
Na 0.0000 0.0000 0.0000
! Spin magnetization, μB per cell: 5.99
! Total DFT energy (no corrections), eV/cell: -127.29